# BaGa3Ru

An optimized crystal structure of BaGa3Ru (GGA-PBE, the Alexandria database).

a b c (Å): 11.9426 12.5318 6.0424
angles (deg): 90.00 91.00 90.00
Space group C2/c (No. 15)
Symmetry-distinct sites (fractional):
Ba 0.1737 0.1098 0.4166 x8
Ga 0.0774 0.1794 0.9189 x8
Ga 0.0849 0.4573 0.4038 x8
Ga 0.1799 0.3536 0.0485 x8
Ru 0.0000 0.2890 0.2500 x4
Ru 0.0000 0.3575 0.7500 x4

Output
Raw total energy   -173.07 eV per cell
DOS(E_F)   0.675 states/eV/atom
Energy relative to the elements   -271 meV/atom
Crystal system   monoclinic


# BaGa3Ru

An optimized crystal structure of BaGa3Ru (GGA-PBE, the Alexandria database).

a b c (Å): 13.4151 9.7711 6.9122
angles (deg): 90.00 104.18 90.00
Space group C2/c (No. 15)
Symmetry-distinct sites (fractional):
Ba 0.0000 0.0206 0.2500 x4
Ba 0.0000 0.3500 0.7500 x4
Ga 0.1852 0.4941 0.0909 x8
Ga 0.1897 0.1678 0.5925 x8
Ga 0.1913 0.1789 0.0960 x8
Ru 0.0953 0.3349 0.3027 x8

Output
Raw total energy   -167.34 eV per cell
DOS(E_F)   0.520 states/eV/atom
Energy relative to the elements   -128 meV/atom
Crystal system   monoclinic


# BaGa2Ru2

An optimized crystal structure of BaGa2Ru2 (GGA-PBE, the Alexandria database).

a b c (Å): 7.7281 7.7281 3.0724
angles (deg): 90.00 90.00 90.00
Space group P4/mbm (No. 127)
Symmetry-distinct sites (fractional):
Ba 0.0000 0.0000 0.0000 x2
Ga 0.1371 0.3629 0.5000 x4
Ru 0.1442 0.6442 0.0000 x4

Output
Raw total energy   -52.97 eV per cell
DOS(E_F)   0.957 states/eV/atom
Energy relative to the elements   9 meV/atom
Crystal system   tetragonal


# BaGaRu3

An optimized crystal structure of BaGaRu3 (GGA-PBE, the Alexandria database).

a b c (Å): 5.0663 5.0663 5.0663
angles (deg): 90.00 90.00 90.00
Space group Pm-3m (No. 221)
Symmetry-distinct sites (fractional):
Ba 0.0000 0.0000 0.0000 x1
Ga 0.5000 0.5000 0.5000 x1
Ru 0.0000 0.0000 0.5000 x3

Output
Raw total energy   -20.08 eV per cell
DOS(E_F)   1.254 states/eV/atom
Energy relative to the elements   2539 meV/atom
Crystal system   cubic


# BaGa3Ru

An optimized crystal structure of BaGa3Ru (GGA-PBE, the Alexandria database).

a b c (Å): 4.7232 4.7232 24.9884
angles (deg): 90.00 90.00 90.00
Space group I-4m2 (No. 119)
Symmetry-distinct sites (fractional):
Ba 0.0000 0.0000 0.0000 x2
Ba 0.0000 0.5000 0.2500 x2
Ga 0.0000 0.0000 0.3396 x4
Ga 0.0000 0.2447 0.1279 x8
Ru 0.0000 0.5000 0.7023 x4

Output
Raw total energy   -77.70 eV per cell
DOS(E_F)   0.676 states/eV/atom
Energy relative to the elements   171 meV/atom
Crystal system   tetragonal


# BaGa3Ru

An optimized crystal structure of BaGa3Ru (GGA-PBE, the Alexandria database).

a b c (Å): 5.2522 17.2802 4.8755
angles (deg): 90.00 90.00 90.00
Space group Cmcm (No. 63)
Symmetry-distinct sites (fractional):
Ba 0.0000 0.1984 0.2500 x4
Ga 0.0000 0.0000 0.0000 x4
Ga 0.2259 0.3940 0.2500 x8
Ru 0.0000 0.4577 0.7500 x4

Output
Raw total energy   -82.62 eV per cell
DOS(E_F)   0.734 states/eV/atom
Energy relative to the elements   -75 meV/atom
Crystal system   orthorhombic